The following is a GGA-PBE calculation of Ho2PtO4 after structural relaxation, from the Open Quantum Materials Database.

Total energy in eV per cell: -105.712
Space group: No. 12
Magnetic moment in μB/f.u.: 1.0

Lattice parameters (Å, degrees): 6.8686 6.8686 9.8048 121.31 121.31 30.36
Closest atoms and distances in Å follow each position.
Atoms (fractional coordinates):
O: 0.6951 0.6951 0.0467  1 Pt 1.93
O: 0.3049 0.3049 0.9533  1 Pt 1.93
O: 0.9145 0.9145 0.3467  4 Ho 2.19-2.30
O: 0.0855 0.0855 0.6533  4 Ho 2.19-2.30
O: 0.2707 0.2707 0.3955  4 Ho 2.31-2.40
O: 0.7293 0.7293 0.6045  4 Ho 2.31-2.40
O: 0.4735 0.4735 0.7347  1 Pt 1.93
O: 0.5265 0.5265 0.2653  1 Pt 1.93
Ho: 0.8836 0.8836 0.5500  7 O 2.24-2.38
Ho: 0.1164 0.1164 0.4500  7 O 2.24-2.38
Ho: 0.6714 0.6714 0.7975  7 O 2.19-2.41
Ho: 0.3286 0.3286 0.2025  7 O 2.19-2.41
Pt: 0.4054 0.4054 0.8658  2 O 1.93
Pt: 0.5946 0.5946 0.1342  2 O 1.93

The following is a GGA-PBE calculation of InNiAu2 after structural relaxation, from the Open Quantum Materials Database.

Total energy in eV per cell: -14.986
Space group: No. 216
Magnetic moment in μB/f.u.: 0.0

Lattice parameters (Å, degrees): 4.5871 4.5871 4.5871 60.00 60.00 60.00
Closest atoms and distances in Å follow each position.
Atoms (fractional coordinates):
Au: 0.0000 0.0000 0.0000  4 Au 2.81, 4 Ni 2.81
Au: 0.7500 0.7500 0.7500  4 In 2.81, 4 Au 2.81
In: 0.5000 0.5000 0.5000  4 Au 2.81, 4 Ni 2.81
Ni: 0.2500 0.2500 0.2500  4 In 2.81, 4 Au 2.81

The following is a GGA-PBE calculation of NbB after structural relaxation, from the Open Quantum Materials Database.

Total energy in eV per cell: -17.960
Space group: No. 166
Magnetic moment in μB/f.u.: 0.0

Lattice parameters (Å, degrees): 3.2725 3.2725 3.2725 59.49 59.49 59.49
Closest atoms and distances in Å follow each position.
Atoms (fractional coordinates):
Nb: 0.5000 0.5000 0.5000  6 B 2.31
B: 0.0000 0.0000 0.0000  6 Nb 2.31

The following is a GGA-PBE calculation of BaCd2GePb after structural relaxation, from the Open Quantum Materials Database.

Total energy in eV per cell: -27.588
Space group: No. 129

Lattice parameters (Å, degrees): 4.9131 4.9131 12.0086 90.00 90.00 90.00
Closest atoms and distances in Å follow each position.
Atoms (fractional coordinates):
Ba: 0.0000 0.5000 0.2323  4 Ge 3.71, 8 Cd 3.72-3.73, 4 Pb 4.05
Ba: 0.5000 0.0000 0.7677  4 Ge 3.71, 8 Cd 3.72-3.73, 4 Pb 4.05
Pb: 0.0000 0.0000 0.5000  4 Cd 3.08
Pb: 0.5000 0.5000 0.5000  4 Cd 3.08
Ge: 0.0000 0.5000 0.8772  5 Cd 2.67-2.87
Ge: 0.5000 0.0000 0.1228  5 Cd 2.67-2.87
Cd: 0.5000 0.0000 0.3453  1 Ge 2.67
Cd: 0.0000 0.5000 0.6547  1 Ge 2.67
Cd: 0.0000 0.0000 0.0000  4 Ge 2.87
Cd: 0.5000 0.5000 0.0000  4 Ge 2.87

The following is a GGA-PBE calculation of TmMgTlS3 after structural relaxation, from the Open Quantum Materials Database.

Distance to the lowest polymorph of the same formula in eV per atom: 0.008
Space group: No. 63
Magnetic moment in μB/f.u.: 0.0

Lattice parameters (Å, degrees): 7.4148 7.4148 10.6799 90.00 90.00 148.42
Closest atoms and distances in Å follow each position.
Atoms (fractional coordinates):
Mg: 0.0399 0.9601 0.7500  4 S 2.39-2.46
Mg: 0.9601 0.0399 0.2500  4 S 2.39-2.46
S: 0.5589 0.4411 0.2500  2 Mg 2.46
S: 0.1215 0.8785 0.5543  1 Mg 2.39
S: 0.8785 0.1215 0.0543  1 Mg 2.39
S: 0.1215 0.8785 0.9457  1 Mg 2.39
S: 0.4411 0.5589 0.7500  2 Mg 2.46
S: 0.8785 0.1215 0.4457  1 Mg 2.39
Tl: 0.7574 0.2426 0.7500  8 S 3.31-3.68, 2 Mg 3.70
Tl: 0.2426 0.7574 0.2500  8 S 3.31-3.68, 2 Mg 3.70
Tm: 0.5000 0.5000 0.0000  6 S 2.72-2.80
Tm: 0.5000 0.5000 0.5000  6 S 2.72-2.80

The following is a GGA-PBE calculation of PrZnIn after structural relaxation, from the Open Quantum Materials Database.

Total energy in eV per cell: -19.077
Space group: No. 194
Magnetic moment in μB/f.u.: 0.0

Lattice parameters (Å, degrees): 5.2647 5.2647 6.4303 90.00 90.00 120.00
Closest atoms and distances in Å follow each position.
Atoms (fractional coordinates):
In: 0.6667 0.3333 0.7500  5 Pr 3.04-3.22
In: 0.3333 0.6667 0.2500  5 Pr 3.04-3.22
Pr: 0.6667 0.3333 0.2500  5 In 3.04-3.22
Pr: 0.3333 0.6667 0.7500  5 In 3.04-3.22
Zn: 0.0000 0.0000 0.5000  2 Zn 3.22, 6 Pr 3.44, 6 In 3.44
Zn: 0.0000 0.0000 0.0000  2 Zn 3.22, 6 In 3.44, 6 Pr 3.44

The following is a GGA-PBE calculation of TbPm after structural relaxation, from the Open Quantum Materials Database.

Distance to the lowest polymorph of the same formula in eV per atom: 0.670
Space group: No. 225
Magnetic moment in μB/f.u.: 0.8

Lattice parameters (Å, degrees): 4.5846 4.5846 4.5846 60.00 60.00 60.00
Closest atoms and distances in Å follow each position.
Atoms (fractional coordinates):
Pm: 0.0000 0.0000 0.0000  6 Tb 3.24
Tb: 0.5000 0.5000 0.5000  6 Pm 3.24

The following is a GGA-PBE calculation of PaGaGe after structural relaxation, from the Open Quantum Materials Database.

Distance to the lowest polymorph of the same formula in eV per atom: 0.000
Space group: No. 216
Magnetic moment in μB/f.u.: 0.0

Lattice parameters (Å, degrees): 4.7524 4.7524 4.7524 60.00 60.00 60.00
Closest atoms and distances in Å follow each position.
Atoms (fractional coordinates):
Ga: 0.2500 0.2500 0.2500  4 Pa 2.91
Ge: 0.7500 0.7500 0.7500  4 Pa 2.91
Pa: 0.0000 0.0000 0.0000  4 Ga 2.91, 4 Ge 2.91

The following is a GGA-PBE calculation of ZrIn2Hg after structural relaxation, from the Open Quantum Materials Database.

Total energy in eV per cell: -13.682
Space group: No. 216
Magnetic moment in μB/f.u.: 0.2

Lattice parameters (Å, degrees): 5.0832 5.0832 5.0832 60.00 60.00 60.00
Closest atoms and distances in Å follow each position.
Atoms (fractional coordinates):
Zr: 0.2500 0.2500 0.2500  4 Hg 3.11, 4 In 3.11
Hg: 0.5000 0.5000 0.5000  4 In 3.11, 4 Zr 3.11
In: 0.7500 0.7500 0.7500  4 Hg 3.11, 4 In 3.11
In: 0.0000 0.0000 0.0000  4 Zr 3.11, 4 In 3.11

The following is a GGA-PBE calculation of BaCu3Si after structural relaxation, from the Open Quantum Materials Database.

Total energy in eV per cell: -38.384
Space group: No. 31

Lattice parameters (Å, degrees): 6.1537 5.1101 8.7083 90.00 134.96 90.00
Closest atoms and distances in Å follow each position.
Atoms (fractional coordinates):
Cu: 0.2954 0.7822 0.8372  2 Si 2.51-2.60, 4 Cu 2.61
Cu: 0.7959 0.5002 0.5870  2 Si 2.43, 2 Cu 2.61
Cu: 0.2954 0.2178 0.3372  2 Si 2.51-2.60, 4 Cu 2.61
Cu: 0.7959 0.4998 0.0870  2 Si 2.43, 2 Cu 2.61
Cu: 0.2928 0.4999 0.0860  2 Si 2.43, 2 Cu 2.61
Cu: 0.2928 0.5001 0.5860  2 Si 2.43, 2 Cu 2.61
Si: 0.2958 0.2906 0.8375  6 Cu 2.43-2.60
Si: 0.2958 0.7094 0.3375  6 Cu 2.43-2.60
Ba: 0.7946 0.9999 0.8366  12 Cu 3.27-3.36, 4 Si 3.41-3.42
Ba: 0.7946 0.0001 0.3366  12 Cu 3.27-3.36, 4 Si 3.41-3.42

The following is a GGA-PBE calculation of Ba2Ho after structural relaxation, from the Open Quantum Materials Database.

Distance to the lowest polymorph of the same formula in eV per atom: 0.000
Space group: No. 139
Magnetic moment in μB/f.u.: 0.0

Lattice parameters (Å, degrees): 8.5186 8.5186 8.5186 151.04 151.04 41.42
Closest atoms and distances in Å follow each position.
Atoms (fractional coordinates):
Ho: 0.0000 0.0000 0.0000  8 Ba 3.86, 4 Ho 4.26
Ba: 0.3488 0.3488 0.0000  4 Ho 3.86, 4 Ba 4.26
Ba: 0.6512 0.6512 0.0000  4 Ho 3.86, 4 Ba 4.26

The following is a GGA-PBE calculation of CdBiSbO after structural relaxation, from the Open Quantum Materials Database.

Distance to the lowest polymorph of the same formula in eV per atom: 0.030
Space group: No. 55

Lattice parameters (Å, degrees): 10.3284 16.8948 4.7358 90.00 90.00 90.00
Closest atoms and distances in Å follow each position.
Atoms (fractional coordinates):
Cd: 0.5855 0.3742 0.5000  2 O 2.30
Cd: 0.0891 0.6261 0.5000  2 O 2.30-2.31
Cd: 0.4109 0.1261 0.5000  2 O 2.30-2.31
Cd: 0.5891 0.8739 0.5000  2 O 2.30-2.31
Cd: 0.9145 0.8742 0.5000  2 O 2.30
Cd: 0.4145 0.6258 0.5000  2 O 2.30
Cd: 0.9109 0.3739 0.5000  2 O 2.30-2.31
Cd: 0.0855 0.1258 0.5000  2 O 2.30
Bi: 0.2486 0.0063 0.0000  2 O 2.41
Bi: 0.7486 0.4937 0.0000  2 O 2.41
Bi: 0.2514 0.5063 0.0000  2 O 2.41
Bi: 0.2466 0.2454 0.0000  2 O 2.41
Bi: 0.7534 0.7546 0.0000  2 O 2.41
Bi: 0.7466 0.2546 0.0000  2 O 2.41
Bi: 0.2534 0.7454 0.0000  2 O 2.41
Bi: 0.7514 0.9937 0.0000  2 O 2.41
Sb: 0.9451 0.1256 0.0000  2 Cd 2.78, 2 Bi 2.99
Sb: 0.0525 0.3769 0.0000  2 Cd 2.78, 2 Bi 2.99-3.00
Sb: 0.0549 0.8744 0.0000  2 Cd 2.78, 2 Bi 2.99
Sb: 0.4475 0.8769 0.0000  2 Cd 2.78, 2 Bi 2.99-3.00
Sb: 0.9475 0.6231 0.0000  2 Cd 2.78, 2 Bi 2.99-3.00
Sb: 0.4451 0.3744 0.0000  2 Cd 2.78, 2 Bi 2.99
Sb: 0.5525 0.1231 0.0000  2 Cd 2.78, 2 Bi 2.99-3.00
Sb: 0.5549 0.6256 0.0000  2 Cd 2.78, 2 Bi 2.99
O: 0.7520 0.9673 0.5000  2 Cd 2.30-2.31, 2 Bi 2.41
O: 0.7480 0.4673 0.5000  2 Cd 2.30-2.31, 2 Bi 2.41
O: 0.2481 0.2191 0.5000  2 Cd 2.30, 2 Bi 2.41
O: 0.7481 0.2809 0.5000  2 Cd 2.30, 2 Bi 2.41
O: 0.2520 0.5327 0.5000  2 Cd 2.30-2.31, 2 Bi 2.41
O: 0.2519 0.7191 0.5000  2 Cd 2.30, 2 Bi 2.41
O: 0.7519 0.7809 0.5000  2 Cd 2.30, 2 Bi 2.41
O: 0.2480 0.0327 0.5000  2 Cd 2.30-2.31, 2 Bi 2.41